1.
! ZrPaSn, optimized geometry, DFT PBE-GGA; values from VASP
! Energy above the lowest structure with this stoichiometry in meV per atom: 0.0
&SYSTEM
  ibrav = 0, nat = 12, ntyp = 3
/
ATOMIC_SPECIES
Zr 91.22 Zr.upf
Pa 231.04 Pa.upf
Sn 118.71 Sn.upf
CELL_PARAMETERS angstrom
7.017 0.000 0.000
0.000 7.017 0.000
0.000 0.000 7.017
ATOMIC_POSITIONS crystal
Zr 0.000 0.000 0.000
Zr 0.000 0.500 0.500
Zr 0.500 0.000 0.500
Zr 0.500 0.500 0.000
Pa 0.000 0.000 0.500
Pa 0.000 0.500 0.000
Pa 0.500 0.000 0.000
Pa 0.500 0.500 0.500
Sn 0.250 0.250 0.750
Sn 0.250 0.750 0.250
Sn 0.750 0.250 0.250
Sn 0.750 0.750 0.750



2.
! ZrPaSn, optimized geometry, DFT PBE-GGA; values from VASP
! Energy above the lowest structure with this stoichiometry in meV per atom: 505.1
&SYSTEM
  ibrav = 0, nat = 12, ntyp = 3
/
ATOMIC_SPECIES
Zr 91.22 Zr.upf
Pa 231.04 Pa.upf
Sn 118.71 Sn.upf
CELL_PARAMETERS angstrom
7.216 0.000 0.000
0.000 7.216 0.000
0.000 0.000 7.216
ATOMIC_POSITIONS crystal
Zr 0.000 0.000 0.000
Zr 0.000 0.500 0.500
Zr 0.500 0.000 0.500
Zr 0.500 0.500 0.000
Pa 0.250 0.250 0.750
Pa 0.250 0.750 0.250
Pa 0.750 0.250 0.250
Pa 0.750 0.750 0.750
Sn 0.000 0.000 0.500
Sn 0.000 0.500 0.000
Sn 0.500 0.000 0.000
Sn 0.500 0.500 0.500



3.
The following is a DFT calculation (PBE-GGA) of a relaxed structure of Sr2TbPa3. Values from VASP.

```
&SYSTEM
  ibrav = 0, nat = 6, ntyp = 3
/
ATOMIC_SPECIES
Sr 87.62 Sr.upf
Tb 158.93 Tb.upf
Pa 231.04 Pa.upf
CELL_PARAMETERS angstrom
6.178 0.000 0.000
-3.089 5.351 0.000
0.000 0.000 6.068
ATOMIC_POSITIONS crystal
Sr 0.333 0.667 0.000
Sr 0.667 0.333 0.000
Tb 0.000 0.000 0.000
Pa 0.000 0.500 0.500
Pa 0.500 0.000 0.500
Pa 0.500 0.500 0.500
```



4.
! SrTbPa, optimized geometry, DFT PBE-GGA; values from VASP
! Energy above the lowest structure with this stoichiometry in meV per atom: 0.0
&SYSTEM
  ibrav = 0, nat = 12, ntyp = 3
/
ATOMIC_SPECIES
Sr 87.62 Sr.upf
Tb 158.93 Tb.upf
Pa 231.04 Pa.upf
CELL_PARAMETERS angstrom
7.786 0.000 0.000
0.000 7.786 0.000
0.000 0.000 7.786
ATOMIC_POSITIONS crystal
Sr 0.000 0.000 0.000
Sr 0.000 0.500 0.500
Sr 0.500 0.000 0.500
Sr 0.500 0.500 0.000
Tb 0.250 0.250 0.250
Tb 0.250 0.750 0.750
Tb 0.750 0.250 0.750
Tb 0.750 0.750 0.250
Pa 0.000 0.000 0.500
Pa 0.000 0.500 0.000
Pa 0.500 0.000 0.000
Pa 0.500 0.500 0.500



5.
The following is a DFT calculation (PBE-GGA) of a relaxed structure of SrUPa. Values from VASP.

```
&SYSTEM
  ibrav = 0, nat = 12, ntyp = 3
/
ATOMIC_SPECIES
Sr 87.62 Sr.upf
U 238.03 U.upf
Pa 231.04 Pa.upf
CELL_PARAMETERS angstrom
7.308 0.000 0.000
0.000 7.308 0.000
0.000 0.000 7.308
ATOMIC_POSITIONS crystal
Sr 0.000 0.000 0.000
Sr 0.000 0.500 0.500
Sr 0.500 0.000 0.500
Sr 0.500 0.500 0.000
U 0.250 0.250 0.750
U 0.250 0.750 0.250
U 0.750 0.250 0.250
U 0.750 0.750 0.750
Pa 0.000 0.000 0.500
Pa 0.000 0.500 0.000
Pa 0.500 0.000 0.000
Pa 0.500 0.500 0.500
```



6.
! SrYPa, optimized geometry, DFT PBE-GGA; values from VASP
! Energy above the lowest structure with this stoichiometry in meV per atom: 0.0
&SYSTEM
  ibrav = 0, nat = 12, ntyp = 3
/
ATOMIC_SPECIES
Sr 87.62 Sr.upf
Y 88.91 Y.upf
Pa 231.04 Pa.upf
CELL_PARAMETERS angstrom
7.833 0.000 0.000
0.000 7.833 0.000
0.000 0.000 7.833
ATOMIC_POSITIONS crystal
Sr 0.000 0.000 0.000
Sr 0.000 0.500 0.500
Sr 0.500 0.000 0.500
Sr 0.500 0.500 0.000
Y 0.250 0.250 0.750
Y 0.250 0.750 0.250
Y 0.750 0.250 0.250
Y 0.750 0.750 0.750
Pa 0.000 0.000 0.500
Pa 0.000 0.500 0.000
Pa 0.500 0.000 0.000
Pa 0.500 0.500 0.500



7.
! SrZrPa, optimized geometry, DFT PBE-GGA; values from VASP
! Energy above the lowest structure with this stoichiometry in meV per atom: 0.0
&SYSTEM
  ibrav = 0, nat = 12, ntyp = 3
/
ATOMIC_SPECIES
Sr 87.62 Sr.upf
Zr 91.22 Zr.upf
Pa 231.04 Pa.upf
CELL_PARAMETERS angstrom
7.417 0.000 0.000
0.000 7.417 0.000
0.000 0.000 7.417
ATOMIC_POSITIONS crystal
Sr 0.000 0.000 0.000
Sr 0.000 0.500 0.500
Sr 0.500 0.000 0.500
Sr 0.500 0.500 0.000
Zr 0.250 0.250 0.750
Zr 0.250 0.750 0.250
Zr 0.750 0.250 0.250
Zr 0.750 0.750 0.750
Pa 0.000 0.000 0.500
Pa 0.000 0.500 0.000
Pa 0.500 0.000 0.000
Pa 0.500 0.500 0.500



8.
! Pa2Ta, optimized geometry, DFT PBE-GGA; values from VASP
! Energy of formation in eV per atom: 2.6192
&SYSTEM
  ibrav = 0, nat = 6, ntyp = 2
/
ATOMIC_SPECIES
Pa 231.04 Pa.upf
Ta 180.95 Ta.upf
CELL_PARAMETERS angstrom
0.000 5.946 5.946
5.946 0.000 5.946
5.946 5.946 0.000
ATOMIC_POSITIONS crystal
Pa 0.000 0.000 0.000
Pa 0.000 0.000 0.500
Pa 0.000 0.500 0.000
Pa 0.500 0.000 0.000
Ta 0.125 0.125 0.125
Ta 0.875 0.875 0.875



9.
! TbPaTa, optimized geometry, DFT PBE-GGA; values from VASP
! Energy of formation in eV per atom: 1.2848
! Energy above the lowest structure with this stoichiometry in meV per atom: 0.0
&SYSTEM
  ibrav = 0, nat = 12, ntyp = 3
/
ATOMIC_SPECIES
Tb 158.93 Tb.upf
Pa 231.04 Pa.upf
Ta 180.95 Ta.upf
CELL_PARAMETERS angstrom
6.922 0.000 0.000
0.000 6.922 0.000
0.000 0.000 6.922
ATOMIC_POSITIONS crystal
Tb 0.000 0.000 0.000
Tb 0.000 0.500 0.500
Tb 0.500 0.000 0.500
Tb 0.500 0.500 0.000
Pa 0.250 0.250 0.750
Pa 0.250 0.750 0.250
Pa 0.750 0.250 0.250
Pa 0.750 0.750 0.750
Ta 0.000 0.000 0.500
Ta 0.000 0.500 0.000
Ta 0.500 0.000 0.000
Ta 0.500 0.500 0.500



10.
! PaTaTe, optimized geometry, DFT PBE-GGA; values from VASP
! Energy above the lowest structure with this stoichiometry in meV per atom: 0.0
&SYSTEM
  ibrav = 0, nat = 12, ntyp = 3
/
ATOMIC_SPECIES
Pa 231.04 Pa.upf
Ta 180.95 Ta.upf
Te 127.60 Te.upf
CELL_PARAMETERS angstrom
6.753 0.000 0.000
0.000 6.753 0.000
0.000 0.000 6.753
ATOMIC_POSITIONS crystal
Pa 0.000 0.000 0.000
Pa 0.000 0.500 0.500
Pa 0.500 0.000 0.500
Pa 0.500 0.500 0.000
Ta 0.250 0.250 0.750
Ta 0.250 0.750 0.250
Ta 0.750 0.250 0.250
Ta 0.750 0.750 0.750
Te 0.000 0.000 0.500
Te 0.000 0.500 0.000
Te 0.500 0.000 0.000
Te 0.500 0.500 0.500



11.
! PaTaTe, optimized geometry, DFT PBE-GGA; values from VASP
! Energy above the lowest structure with this stoichiometry in meV per atom: 520.0
&SYSTEM
  ibrav = 0, nat = 12, ntyp = 3
/
ATOMIC_SPECIES
Pa 231.04 Pa.upf
Ta 180.95 Ta.upf
Te 127.60 Te.upf
CELL_PARAMETERS angstrom
6.966 0.000 0.000
0.000 6.966 0.000
0.000 0.000 6.966
ATOMIC_POSITIONS crystal
Pa 0.000 0.000 0.000
Pa 0.000 0.500 0.500
Pa 0.500 0.000 0.500
Pa 0.500 0.500 0.000
Ta 0.250 0.250 0.750
Ta 0.250 0.750 0.250
Ta 0.750 0.250 0.250
Ta 0.750 0.750 0.750
Te 0.250 0.250 0.250
Te 0.250 0.750 0.750
Te 0.750 0.250 0.750
Te 0.750 0.750 0.250



12.
! Tm3PaTa, optimized geometry, DFT PBE-GGA; values from VASP
! Energy of formation in eV per atom: 1.7383
&SYSTEM
  ibrav = 0, nat = 5, ntyp = 3
/
ATOMIC_SPECIES
Tm 168.93 Tm.upf
Pa 231.04 Pa.upf
Ta 180.95 Ta.upf
CELL_PARAMETERS angstrom
5.365 0.000 0.000
0.000 5.365 0.000
0.000 0.000 5.365
ATOMIC_POSITIONS crystal
Tm 0.000 0.000 0.500
Tm 0.000 0.500 0.000
Tm 0.500 0.000 0.000
Pa 0.000 0.000 0.000
Ta 0.500 0.500 0.500



| no. | raw total energy (eV/atom) |
| --- | --- |
| 1 | -7.048 |
| 2 | -6.543 |
| 3 | -5.155 |
| 4 | -3.924 |
| 5 | -5.885 |
| 6 | -4.509 |
| 7 | -5.266 |
| 8 | -7.662 |
| 9 | -7.374 |
| 10 | -7.732 |
| 11 | -7.212 |
| 12 | -5.216 |